[1]
PtSeCl2 (GGA-PBE, optimized geometry); final energy = -10.803 eV per cell; ρ = 5740 kg/m³; polymorph energy (0 for the lowest one) = 977 meV per atom; DOS at the Fermi energy = 1.4530 states/eV per atom; formation energy from raw total energies = 0.60 eV/atom
1.0
2.994 0.000 0.000
0.000 2.994 0.000
0.000 0.000 11.131
Pt Se Cl
1 1 2
Direct
0.000 0.000 0.000
0.000 0.000 0.500
0.500 0.500 0.150
0.500 0.500 0.850

[2]
PtSeCl2 (GGA-PBE, optimized geometry); final energy = -14.163 eV per cell; ρ = 5285 kg/m³; polymorph energy (0 for the lowest one) = 137 meV per atom; DOS at the Fermi energy = 0.4653 states/eV per atom; formation energy from raw total energies = -0.24 eV/atom
1.0
3.587 0.000 0.000
0.000 2.564 5.893
0.000 -2.564 5.893
Pt Se Cl
1 1 2
Direct
0.000 0.000 0.000
0.500 0.135 0.135
0.000 0.503 0.503
0.500 0.858 0.858

[3]
Pt2Se2Cl (GGA-PBE, optimized geometry); final energy = -22.147 eV per cell; ρ = 9129 kg/m³; DOS at the Fermi energy = 0.2895 states/eV per atom; formation energy from raw total energies = -0.25 eV/atom
1.0
-1.879 1.879 7.512
1.879 -1.879 7.512
1.879 1.879 -7.512
Pt Se Cl
2 2 1
Direct
0.163 0.163 0.000
0.837 0.837 0.000
0.326 0.326 0.000
0.674 0.674 0.000
0.000 0.000 0.000

[4]
PtSeCl2 (GGA-PBE, optimized geometry); final energy = -13.316 eV per cell; ρ = 5524 kg/m³; polymorph energy (0 for the lowest one) = 349 meV per atom; DOS at the Fermi energy = 1.0015 states/eV per atom; formation energy from raw total energies = -0.02 eV/atom
1.0
2.731 -5.763 0.000
2.731 5.763 0.000
0.000 0.000 3.294
Pt Se Cl
1 1 2
Direct
0.000 0.000 0.000
0.500 0.500 0.000
0.145 0.855 0.500
0.855 0.145 0.500